[1]
# CeRu3C SCAN single point on PBEsol structure
data_CeRu3C
_chemical_formula_sum 'Ce1 Ru3 C1'
_cell_length_a 4.126
_cell_length_b 4.126
_cell_length_c 4.126
_cell_angle_alpha 90.00
_cell_angle_beta 90.00
_cell_angle_gamma 90.00
_space_group_name_H-M_alt 'P 1'
_space_group_IT_number 1
_space_group_name_Hall 'P 1'
loop_
_atom_site_label
_atom_site_fract_x
_atom_site_fract_y
_atom_site_fract_z
_atom_site_occupancy
Ru1 0.500 0.000 0.000 1
Ru2 0.000 0.000 0.500 1
Ru3 0.000 0.500 0.000 1
C1 0.000 0.000 0.000 1
Ce1 0.500 0.500 0.500 1
# - Energy relative to the elements: -0.25 eV/atom
# - Total moment: 0.00 μB/f.u.
# - DFT total energy: -32.08 eV per atom
# - Mass density: 10.76 g cm⁻³

[2]
# CuP2Ir SCAN single point on PBEsol structure
data_CuP2Ir
_chemical_formula_sum 'Cu1 P2 Ir1'
_cell_length_a 3.406
_cell_length_b 3.948
_cell_length_c 4.894
_cell_angle_alpha 90.22
_cell_angle_beta 90.00
_cell_angle_gamma 115.55
_space_group_name_H-M_alt 'P 1'
_space_group_IT_number 1
_space_group_name_Hall 'P 1'
loop_
_atom_site_label
_atom_site_fract_x
_atom_site_fract_y
_atom_site_fract_z
_atom_site_occupancy
Ir1 0.690 0.381 0.218 1
P1 0.269 0.538 0.522 1
P2 0.985 0.970 0.038 1
Cu1 0.556 0.111 0.722 1
# - Energy relative to the elements: -0.19 eV/atom
# - Total moment: 0.00 μB/f.u.
# - DFT total energy: -26.97 eV per atom
# - Mass density: 8.88 g cm⁻³
# - Polymorph energy (0 for the lowest one): 0.000 eV per atom

[3]
# ScHgAs SCAN single point on PBEsol structure
data_ScHgAs
_chemical_formula_sum 'Sc1 Hg1 As1'
_cell_length_a 4.618
_cell_length_b 4.618
_cell_length_c 4.618
_cell_angle_alpha 60.00
_cell_angle_beta 60.00
_cell_angle_gamma 60.00
_space_group_name_H-M_alt 'P 1'
_space_group_IT_number 1
_space_group_name_Hall 'P 1'
loop_
_atom_site_label
_atom_site_fract_x
_atom_site_fract_y
_atom_site_fract_z
_atom_site_occupancy
Sc1 0.000 0.000 0.000 1
Hg1 0.250 0.250 0.250 1
As1 0.500 0.500 0.500 1
# - Energy relative to the elements: -0.21 eV/atom
# - Total moment: 0.00 μB/f.u.
# - DFT total energy: -34.41 eV per atom
# - Mass density: 7.64 g cm⁻³

[4]
# LiLa2Rh SCAN single point on PBEsol structure
data_LiLa2Rh
_chemical_formula_sum 'Li1 La2 Rh1'
_cell_length_a 4.014
_cell_length_b 4.015
_cell_length_c 9.075
_cell_angle_alpha 102.69
_cell_angle_beta 90.00
_cell_angle_gamma 119.99
_space_group_name_H-M_alt 'P 1'
_space_group_IT_number 1
_space_group_name_Hall 'P 1'
loop_
_atom_site_label
_atom_site_fract_x
_atom_site_fract_y
_atom_site_fract_z
_atom_site_occupancy
La1 0.773 0.547 0.819 1
La2 0.227 0.453 0.181 1
Rh1 0.500 0.000 0.000 1
Li1 0.000 0.000 0.500 1
# - Energy relative to the elements: -0.42 eV/atom
# - Total moment: 0.11 μB/f.u.
# - DFT total energy: -31.01 eV per atom
# - Mass density: 5.25 g cm⁻³